[1]
UBePPt: optimized geometry, GGA-PBE.

Unit cell a=3.9288 b=3.9288 c=8.6434 alpha=90.00 beta=90.00 gamma=90.00
Space group P4/nmm (No. 129, origin choice 2)
Unique sites:
U 0.2500 0.2500 0.1930 (multiplicity 2)
Be 0.2500 0.2500 0.6357 (multiplicity 2)
P 0.2500 0.2500 0.8767 (multiplicity 2)
Pt 0.2500 0.7500 0.5000 (multiplicity 2)

Calculated density in g/cm³: 11.8
D(E_F) in states/eV per cell: 13.88
E_form in eV/atom: -0.78
Uncorrected energy in eV per atom: -7.3966


[2]
CeNd12Rh7: optimized geometry, GGA-PBE.

Unit cell a=14.4869 b=14.4869 c=10.0283 alpha=90.00 beta=90.00 gamma=120.00
Space group R-3 (No. 148, hexagonal axes)
Unique sites:
Ce 0.0000 0.0000 0.0000 (multiplicity 3)
Nd 0.0270 0.4389 0.6615 (multiplicity 18)
Nd 0.0477 0.8712 0.3337 (multiplicity 18)
Rh 0.0000 0.0000 0.5000 (multiplicity 3)
Rh 0.0478 0.8687 0.8336 (multiplicity 18)

Calculated density in g/cm³: 7.1
D(E_F) in states/eV per cell: 58.30
E_form in eV/atom: -0.48
Uncorrected energy in eV per atom: -6.2059


[3]
MgZr2Ga: optimized geometry, GGA-PBE.

Unit cell a=4.3654 b=4.3654 c=4.2260 alpha=90.00 beta=90.00 gamma=90.00
Space group P4/mmm (No. 123)
Unique sites:
Mg 0.0000 0.0000 0.0000 (multiplicity 1)
Zr 0.0000 0.5000 0.5000 (multiplicity 2)
Ga 0.5000 0.5000 0.0000 (multiplicity 1)

Calculated density in g/cm³: 5.7
D(E_F) in states/eV per cell: 3.06
E_form in eV/atom: -0.26
Uncorrected energy in eV per atom: -5.6866


[4]
K3ThSn2Te6: optimized geometry, GGA-PBE.

Unit cell a=7.9774 b=13.8161 c=8.6299 alpha=90.00 beta=107.93 gamma=90.00
Space group C2/m (No. 12)
Unique sites:
K 0.0000 0.0000 0.0000 (multiplicity 2)
K 0.0000 0.3308 0.0000 (multiplicity 4)
Th 0.0000 0.5000 0.5000 (multiplicity 2)
Sn 0.0000 0.1662 0.5000 (multiplicity 4)
Te 0.2347 0.3346 0.7085 (multiplicity 8)
Te 0.2394 0.0000 0.7093 (multiplicity 4)

Calculated density in g/cm³: 5.0
D(E_F) in states/eV per cell: 12.42
Uncorrected formation energy in meV/atom: -850
Uncorrected energy in eV per atom: -3.9804